Entry 1:
This record from the Alexandria database describes crystalline Tm5Sb2Ru at its relaxed geometry. The functional is PBE.

The space group is Pbam (No. 55) and the conventional cell measures 7.8297, 12.0879 and 4.4302 Å, with angles of 90.00, 90.00 and 90.00 degrees. The asymmetric unit holds Tm at (0.0000, 0.0000, 0.0000), Tm at (0.1458, 0.3032, 0.0000), Tm at (0.1819, 0.5673, 0.5000), Sb at (0.0644, 0.8262, 0.5000) and Ru at (0.0000, 0.5000, 0.0000).

The polymorph energy (0 for the lowest one) is 0.000 eV/atom. The value obtained for the raw formation energy is -0.737 eV per atom.

Entry 2:
This record from the Alexandria database describes crystalline Er6Ga2N at its relaxed geometry. The functional is PBE.

The space group is Immm (No. 71) and the conventional cell measures 4.8967, 6.5868 and 13.4958 Å, with angles of 90.00, 90.00 and 90.00 degrees. The asymmetric unit holds Er at (0.0000, 0.2357, 0.0000), Er at (0.0000, 0.2561, 0.3475), Ga at (0.0000, 0.5000, 0.1683) and N at (0.0000, 0.5000, 0.5000).

The value obtained for the raw formation energy is -0.185 eV per atom.

Entry 3:
This record from the Alexandria database describes crystalline NaTbCd2O4 at its relaxed geometry. The functional is PBE.

The space group is I4/mmm (No. 139) and the conventional cell measures 4.7300, 4.7300 and 9.7820 Å, with angles of 90.00, 90.00 and 90.00 degrees. The asymmetric unit holds Na at (0.0000, 0.0000, 0.0000), Tb at (0.0000, 0.0000, 0.5000), Cd at (0.0000, 0.5000, 0.2500), O at (0.0000, 0.0000, 0.2646) and O at (0.0000, 0.5000, 0.0000).

The value obtained for the raw formation energy is -1.886 eV per atom.

Please write out number 1 again, unchanged.
This record from the Alexandria database describes crystalline Tm5Sb2Ru at its relaxed geometry. The functional is PBE.

The space group is Pbam (No. 55) and the conventional cell measures 7.8297, 12.0879 and 4.4302 Å, with angles of 90.00, 90.00 and 90.00 degrees. The asymmetric unit holds Tm at (0.0000, 0.0000, 0.0000), Tm at (0.1458, 0.3032, 0.0000), Tm at (0.1819, 0.5673, 0.5000), Sb at (0.0644, 0.8262, 0.5000) and Ru at (0.0000, 0.5000, 0.0000).

The polymorph energy (0 for the lowest one) is 0.000 eV/atom. The value obtained for the raw formation energy is -0.737 eV per atom.

The lowest raw formation energy belongs to which entry?
NaTbCd2O4